(1)
# Nb5VFe2Se20 PBE optimized geometry
# spin magnetization: 0.03 μB per cell
# Fermi-level density of states: 0.33 states/eV per atom
# energy relative to the elements, uncorrected: -0.613 eV/atom
# electronic total energy: -5.83 eV/atom
# space-group type: Pm (6)
# ΔE to the lowest computed polymorph: 0 meV per atom
data_Nb5VFe2Se20
_chemical_formula_sum 'Nb5 V1 Fe2 Se20'
_symmetry_space_group_name_H-M 'P 1'
_symmetry_Int_Tables_number 1
_cell_length_a 10.0196
_cell_length_b 3.5096
_cell_length_c 18.9688
_cell_angle_alpha 90.00
_cell_angle_beta 98.24
_cell_angle_gamma 90.00
loop_
_symmetry_equiv_pos_as_xyz
'x,y,z'
loop_
_atom_site_label
_atom_site_type_symbol
_atom_site_fract_x
_atom_site_fract_y
_atom_site_fract_z
Nb1 Nb 0.0000 0.0000 0.0000
Nb2 Nb 0.0314 0.0000 0.2769
Nb3 Nb 0.2219 0.5000 0.6337
Nb4 Nb 0.5031 0.0000 0.5043
Nb5 Nb 0.7182 0.5000 0.1291
V1 V 0.5303 0.0000 0.7749
Fe1 Fe 0.2053 0.5000 0.3714
Fe2 Fe 0.7043 0.5000 0.8669
Se1 Se 0.0408 0.0000 0.5690
Se2 Se 0.0611 0.0000 0.4070
Se3 Se 0.0733 0.0000 0.6954
Se4 Se 0.1496 0.5000 0.9389
Se5 Se 0.1798 0.5000 0.0648
Se6 Se 0.1978 0.5000 0.2435
Se7 Se 0.3037 0.5000 0.4985
Se8 Se 0.3401 0.5000 0.7727
Se9 Se 0.3754 0.0000 0.3674
Se10 Se 0.4220 0.0000 0.6376
Se11 Se 0.5387 0.0000 0.0626
Se12 Se 0.5589 0.0000 0.8987
Se13 Se 0.5662 0.0000 0.1887
Se14 Se 0.6505 0.5000 0.4420
Se15 Se 0.6827 0.5000 0.7414
Se16 Se 0.6841 0.5000 0.5682
Se17 Se 0.8006 0.5000 0.9938
Se18 Se 0.8282 0.5000 0.2707
Se19 Se 0.8739 0.0000 0.8628
Se20 Se 0.9189 0.0000 0.1329


(2)
# SiNiIr2 PBE optimized geometry
# spin magnetization: 0.00 μB per cell
# Fermi-level density of states: 0.90 states/eV per atom
# energy relative to the elements, uncorrected: -0.309 eV/atom
# electronic total energy: -7.54 eV/atom
# space-group type: Cmmm (65)
data_SiNiIr2
_chemical_formula_sum 'Si1 Ni1 Ir2'
_symmetry_space_group_name_H-M 'P 1'
_symmetry_Int_Tables_number 1
_cell_length_a 4.3398
_cell_length_b 4.3398
_cell_length_c 2.8004
_cell_angle_alpha 90.00
_cell_angle_beta 90.00
_cell_angle_gamma 100.79
loop_
_symmetry_equiv_pos_as_xyz
'x,y,z'
loop_
_atom_site_label
_atom_site_type_symbol
_atom_site_fract_x
_atom_site_fract_y
_atom_site_fract_z
Si1 Si 0.0000 0.0000 0.0000
Ni1 Ni 0.5000 0.5000 0.0000
Ir1 Ir 0.0000 0.5000 0.5000
Ir2 Ir 0.5000 0.0000 0.5000